Here is a relaxed Sc3W crystal from Alexandria. Energies are from GGA-PBE.

Size of the total moment, Bohr magnetons per cell: 0.00
Distance to the lowest polymorph of the same formula, meV/atom: 2
E_tot, eV/atom: -7.811
Calculated formation energy, kJ per mole of atoms: 17.0

a = 7.657 Å, b = 8.523 Å, c = 5.453 Å
α = 90.00°, β = 90.00°, γ = 90.00°
Element x y z (fractional)
Sc (0.028, 0.250, 0.098)
Sc (0.173, 0.065, 0.603)
Sc (0.173, 0.435, 0.603)
Sc (0.327, 0.565, 0.103)
Sc (0.327, 0.935, 0.103)
Sc (0.472, 0.750, 0.598)
Sc (0.528, 0.250, 0.402)
Sc (0.673, 0.065, 0.897)
Sc (0.673, 0.435, 0.897)
Sc (0.827, 0.565, 0.397)
Sc (0.827, 0.935, 0.397)
Sc (0.972, 0.750, 0.902)
W (0.128, 0.750, 0.427)
W (0.372, 0.250, 0.927)
W (0.628, 0.750, 0.073)
W (0.872, 0.250, 0.573)